Below is a geometry-optimized NiRhW2 structure, with properties calculated at the PBE level.

```
NiRhW2
1.0
-1.4040 -0.2464 -4.1386
-1.7884 -1.9297 0.7216
-3.2769 3.3783 0.9105
Ni Rh W
1 1 2
Direct
0.0000 0.6249 0.4530 Ni
0.5000 0.6250 0.7855 Rh
0.0000 0.1252 0.9594 W
0.5000 0.1248 0.3022 W
```

Crystal system = orthorhombic
Magnetic moment = 0.000 μB per atom
Energy of formation from the pure elements = -54 meV per atom
SG = Pmm2, No. 25